1.
Entry from Alexandria via LeMat-Bulk: crystalline TbPm8Dy4 at its relaxed geometry (PBE).

```
TbPm8Dy4
1.0
5.556 3.208 4.530
-5.556 3.208 4.530
0.000 -6.415 4.530
Tb Pm Dy
1 8 4
Cartesian
0.000 0.000 0.000
0.000 0.000 3.533
0.000 -3.079 5.709
-2.667 1.540 5.709
-2.667 -1.540 7.881
2.667 1.540 5.709
2.667 -1.540 7.881
0.000 3.079 7.881
0.000 0.000 10.057
-5.556 0.000 6.795
-2.778 1.604 2.265
2.778 1.604 2.265
0.000 0.000 6.795
```

Properties
DFT formation energy	0.473	eV per atom
space group	No. 166
calculated density	6.75	g/cm³
total energy	-4.223	eV per atom


2.
Entry from Alexandria via LeMat-Bulk: crystalline Tb8PmDy2 at its relaxed geometry (PBE).

```
Tb8PmDy2
1.0
-2.771 4.074 7.951
2.771 -4.074 7.951
2.771 4.074 -7.951
Tb Pm Dy
8 1 2
Cartesian
2.771 2.395 -2.203
0.000 0.000 2.592
0.000 2.404 0.000
2.771 2.395 2.203
0.000 1.679 5.748
0.000 5.744 0.000
0.000 0.000 13.309
0.000 1.679 10.153
2.771 0.000 0.000
2.771 0.000 4.771
0.000 4.074 3.180
```

Properties
DFT formation energy	0.113	eV per atom
space group	No. 71
calculated density	8.05	g/cm³
total energy	-4.523	eV per atom


3.
Entry from Alexandria via LeMat-Bulk: crystalline Tb4Pm5Dy2 at its relaxed geometry (PBE).

```
Tb4Pm5Dy2
1.0
-1.761 4.586 11.733
1.761 -4.586 11.733
1.761 4.586 -11.733
Tb Pm Dy
4 5 2
Cartesian
0.000 0.000 2.272
1.761 1.750 0.000
0.000 2.836 11.733
0.000 0.000 21.195
1.761 2.741 -3.450
1.761 2.741 3.450
0.000 4.586 0.000
0.000 1.845 8.283
0.000 1.845 15.184
0.000 0.000 5.410
0.000 0.000 18.057
```

Properties
DFT formation energy	0.211	eV per atom
space group	No. 71
calculated density	7.38	g/cm³
total energy	-4.469	eV per atom


4.
Entry from Alexandria via LeMat-Bulk: crystalline Tb6PmDy8 at its relaxed geometry (PBE).

```
Tb6PmDy8
1.0
4.520 2.610 6.860
-4.520 2.610 6.860
0.000 -5.219 6.860
Tb Pm Dy
6 1 8
Cartesian
-2.570 -2.136 9.446
-3.135 1.157 11.135
0.565 -3.293 11.135
-0.565 3.293 9.446
3.135 -1.157 9.446
2.570 2.136 11.135
0.000 0.000 10.290
0.000 0.000 1.575
-1.765 0.896 7.379
0.107 -1.976 7.379
-1.658 -1.080 13.202
1.658 1.080 7.379
-0.107 1.976 13.202
1.765 -0.896 13.202
0.000 0.000 19.005
```

Properties
DFT formation energy	0.129	eV per atom
space group	No. 148
calculated density	8.20	g/cm³
total energy	-4.494	eV per atom


5.
Entry from Alexandria via LeMat-Bulk: crystalline Tb3Pm3Dy at its relaxed geometry (PBE).

```
Tb3Pm3Dy
1.0
3.119 1.801 14.388
-3.119 1.801 14.388
0.000 -3.602 14.388
Tb Pm Dy
6 6 2
Cartesian
-1.041 -1.802 18.778
-2.081 0.001 24.385
-1.040 1.802 18.778
1.040 -1.802 24.385
2.081 -0.001 18.778
1.041 1.802 24.385
-2.066 0.000 15.903
-1.033 -1.789 27.260
1.033 -1.789 15.903
-1.033 1.789 27.260
1.033 1.789 15.903
2.066 0.000 27.260
0.000 0.000 7.194
0.000 0.000 35.969
```

Properties
DFT formation energy	0.157	eV per atom
space group	No. 148
calculated density	7.36	g/cm³
total energy	-4.521	eV per atom


6.
Entry from Alexandria via LeMat-Bulk: crystalline TbPm12Dy6 at its relaxed geometry (PBE).

```
TbPm12Dy6
1.0
6.057 3.497 5.085
-6.057 3.497 5.085
0.000 -6.994 5.085
Tb Pm Dy
1 12 6
Cartesian
0.000 0.000 0.000
-2.086 -0.055 2.920
1.091 -1.779 2.920
-2.097 -0.481 6.355
0.996 1.834 2.920
-0.632 -2.057 8.900
1.465 -1.576 6.355
-1.465 1.576 8.900
0.632 2.057 6.355
-0.996 -1.834 12.335
2.097 0.481 8.900
-1.091 1.779 12.335
2.086 0.055 12.335
-0.981 -3.647 5.375
-2.668 2.673 5.375
-3.649 -0.974 9.880
3.649 0.974 5.375
2.668 -2.673 9.880
0.981 3.647 9.880
```

Properties
DFT formation energy	0.137	eV per atom
space group	No. 148
calculated density	7.38	g/cm³
total energy	-4.560	eV per atom


7.
Entry from Alexandria via LeMat-Bulk: crystalline TbPm6Dy3 at its relaxed geometry (PBE).

```
TbPm6Dy3
1.0
4.902 -10.666 0.000
4.902 10.666 0.000
0.000 0.000 6.429
Tb Pm Dy
2 12 6
Cartesian
4.902 7.281 3.214
4.902 -7.281 0.000
4.902 10.325 1.948
3.190 4.674 5.205
3.134 1.283 0.358
4.902 4.250 1.818
3.134 -1.283 3.572
6.614 4.674 5.205
3.190 -4.674 1.990
6.670 1.283 0.358
4.902 -4.250 5.032
6.670 -1.283 3.572
6.614 -4.674 1.990
4.902 -10.325 5.162
1.644 2.683 3.056
1.644 -2.683 6.271
4.902 1.707 3.703
4.902 -1.707 0.489
8.160 2.683 3.056
8.160 -2.683 6.271
```

Properties
DFT formation energy	0.125	eV per atom
space group	No. 36
calculated density	7.49	g/cm³
total energy	-4.569	eV per atom


8.
Entry from Alexandria via LeMat-Bulk: crystalline TbPm4Dy at its relaxed geometry (PBE).

```
TbPm4Dy
1.0
5.565 -3.003 0.000
5.565 3.003 0.000
-0.006 0.000 6.016
Tb Pm Dy
1 4 1
Cartesian
0.000 0.000 0.000
1.811 0.000 2.911
3.747 0.000 5.919
7.376 0.000 0.097
9.313 0.000 3.105
5.562 0.000 3.008
```

Properties
DFT formation energy	0.109	eV per atom
space group	No. 12
calculated density	7.44	g/cm³
total energy	-4.597	eV per atom


9.
Entry from Alexandria via LeMat-Bulk: crystalline TbPm6Dy2 at its relaxed geometry (PBE).

```
TbPm6Dy2
1.0
4.695 -8.844 0.000
4.695 8.844 0.000
0.000 0.000 3.654
Tb Pm Dy
1 6 2
Cartesian
0.000 0.000 0.000
3.038 2.914 0.000
2.975 0.000 1.827
3.038 -2.914 0.000
6.351 2.914 0.000
6.414 0.000 1.827
6.351 -2.914 0.000
4.695 5.681 1.827
4.695 -5.681 1.827
```

Properties
DFT formation energy	0.130	eV per atom
space group	No. 65
calculated density	7.41	g/cm³
total energy	-4.574	eV per atom


10.
Entry from Alexandria via LeMat-Bulk: crystalline Tb2PmDy5 at its relaxed geometry (PBE).

```
Tb2PmDy5
1.0
7.126 0.000 0.000
0.000 14.255 0.000
0.000 0.000 5.023
Tb Pm Dy
4 2 10
Cartesian
1.784 1.790 0.000
1.779 8.917 0.000
5.347 5.338 0.000
5.342 12.465 0.000
0.000 0.000 2.512
3.563 7.127 2.512
7.126 3.574 2.512
0.000 7.127 2.512
0.001 10.681 2.512
1.778 5.337 0.000
1.785 12.464 0.000
3.563 0.000 2.512
3.563 3.553 2.512
3.564 10.702 2.512
5.341 1.791 0.000
5.348 8.918 0.000
```

Properties
DFT formation energy	0.015	eV per atom
space group	No. 55
calculated density	8.30	g/cm³
total energy	-4.613	eV per atom


11.
Entry from Alexandria via LeMat-Bulk: crystalline Tb4Pm6Dy at its relaxed geometry (PBE).

```
Tb4Pm6Dy
1.0
-3.294 3.294 8.728
3.294 -3.294 8.728
3.294 3.294 -8.728
Tb Pm Dy
4 6 1
Cartesian
2.067 2.067 -3.054
1.227 -1.227 11.782
1.227 1.227 5.675
-1.227 1.227 11.782
3.294 0.000 0.000
2.117 -2.117 6.392
1.177 1.177 2.336
0.000 3.294 0.000
-2.117 2.117 6.392
2.117 2.117 11.065
0.000 0.000 8.728
```

Properties
DFT formation energy	0.290	eV per atom
space group	No. 121
calculated density	7.31	g/cm³
total energy	-4.403	eV per atom


12.
Entry from Alexandria via LeMat-Bulk: crystalline Tb5Pm12Dy at its relaxed geometry (PBE).

```
Tb5Pm12Dy
1.0
5.577 -9.028 0.000
5.577 9.028 0.000
-0.001 0.000 6.009
Tb Pm Dy
5 12 1
Cartesian
0.000 0.000 0.000
5.576 6.004 3.004
5.577 3.020 0.000
5.577 -3.020 0.000
5.576 -6.004 3.004
3.754 6.027 5.938
1.806 0.000 2.936
3.755 2.995 3.074
7.398 6.027 0.071
3.767 0.000 5.941
7.397 2.995 2.935
3.755 -2.995 3.074
7.385 0.000 0.068
3.754 -6.027 5.938
7.397 -2.995 2.935
9.346 0.000 3.073
7.398 -6.027 0.071
5.576 0.000 3.004
```

Properties
DFT formation energy	0.111	eV per atom
space group	No. 12
calculated density	7.40	g/cm³
total energy	-4.598	eV per atom